[1]
# MoAu3

A geometry-optimized MoAu3 structure (PBE, the Alexandria database).

Structure (POSCAR):
```
MoAu3
1.0
2.895 0.000 0.000
-1.448 2.507 0.000
0.000 0.000 9.597
Au Mo
3 1
direct
0.000 0.000 0.990
0.000 0.000 0.510
0.333 0.667 0.250
0.333 0.667 0.750
```

Calculated values
Formation energy from the elements, eV per atom: 0.19
Crystal system: hexagonal
DOS(E_F), states/eV per cell: 3.78

***

[2]
# MoAu3

A geometry-optimized MoAu3 structure (PBE, the Alexandria database).

Structure (POSCAR):
```
MoAu3
1.0
-0.872 -3.928 1.119
2.999 0.161 2.902
-2.773 1.410 2.787
Au Mo
3 1
direct
0.000 0.000 0.000
0.000 0.500 0.500
0.500 0.000 0.500
0.500 0.500 0.000
```

Calculated values
Formation energy from the elements, eV per atom: 0.47
Crystal system: cubic
DOS(E_F), states/eV per cell: 3.26

***

[3]
# Mo2Au

A geometry-optimized Mo2Au structure (PBE, the Alexandria database).

Structure (POSCAR):
```
Mo2Au
1.0
6.993 0.551 0.000
5.668 4.133 0.000
-6.330 -2.342 1.909
Au Mo
1 2
direct
0.000 0.000 0.000
0.333 0.333 0.000
0.667 0.667 0.000
```

Calculated values
Polymorph energy (0 for the lowest one), eV/atom: 0.037
Formation energy from the elements, eV per atom: 0.26
Crystal system: tetragonal
DOS(E_F), states/eV per cell: 1.82

***

[4]
# MoAu

A geometry-optimized MoAu structure (PBE, the Alexandria database).

Structure (POSCAR):
```
MoAu
1.0
4.939 -0.010 0.000
4.189 2.616 0.000
-9.735 -2.779 5.141
Au Mo
2 2
direct
0.999 0.999 0.751
0.001 0.001 0.999
0.995 0.995 0.492
0.005 0.005 0.258
```

Calculated values
Formation energy from the elements, eV per atom: 0.25
Crystal system: monoclinic
DOS(E_F), states/eV per cell: 1.99

***

Question: The lowest formation energy from the elements belongs to which entry?
Answer: number 1

***

Question: Among the records above, which one has the highest formation energy from the elements?
Answer: number 2